1.
YLuScCd | PBE | relaxed

- ΔE_f (meV/atom) = -35
- SG = F-43m, No. 216

a = 5.308 Å, b = 5.308 Å, c = 5.308 Å
α = 60.00°, β = 60.00°, γ = 60.00°
Each line ends with the local moment (μB).
Element x y z (fractional)
Y 0.750 0.750 0.750  0.04
Lu 0.250 0.250 0.250  0.06
Cd 0.500 0.500 0.500  0.00
Sc 0.000 0.000 0.000  0.10

=====

2.
LuScZnCd | PBE | relaxed

- ΔE_f (meV/atom) = -303
- SG = F-43m, No. 216

a = 4.978 Å, b = 4.978 Å, c = 4.978 Å
α = 60.00°, β = 60.00°, γ = 60.00°
Element x y z (fractional)
Sc 0.250 0.250 0.250
Zn 0.500 0.500 0.500
Cd 0.000 0.000 0.000
Lu 0.750 0.750 0.750

=====

3.
Lu2CdSe | PBE | relaxed

- energy relative to the elements, uncorrected (eV/atom) = -0.52
- SG = R-3m, No. 166

a = 3.663 Å, b = 3.663 Å, c = 10.031 Å
α = 79.48°, β = 79.48°, γ = 60.00°
Element x y z (fractional)
Lu 0.105 0.105 0.685
Lu 0.895 0.895 0.315
Cd 0.000 0.000 0.000
Se 0.500 0.500 0.500